A plane-wave DFT calculation with PBE+U was carried out for Tl2CoRh2O6 after structural relaxation.

Summary:
- SG: C2/m, No. 12
- Calculated volume: 155.7 Å³ per cell
- Total energy: -5.648 eV per atom

Lattice parameters (Å, degrees): 5.2415 5.2415 6.6258 97.35 97.35 117.97
With the nearest neighbours (Å) after each atom.
Fractional coordinates of all 11 atoms:
Tl1 0.1718 0.8282 0.0000  6 O 2.78-2.87, 3 Tl 3.04-3.09
Tl2 0.8282 0.1718 0.0000  6 O 2.78-2.87, 3 Tl 3.04-3.09
Co1 0.0000 0.0000 0.5000  6 O 1.96-1.97
Rh1 0.3384 0.6616 0.5000  6 O 2.05-2.07
Rh2 0.6616 0.3384 0.5000  6 O 2.05-2.07
O1 0.0459 0.3708 0.6514  1 Co 1.96, 2 Rh 2.05-2.07
O2 0.2579 0.2579 0.3360  1 Co 1.97, 2 Rh 2.07
O3 0.3708 0.0459 0.6514  1 Co 1.96, 2 Rh 2.05-2.07
O4 0.6292 0.9541 0.3486  1 Co 1.96, 2 Rh 2.05-2.07
O5 0.7421 0.7421 0.6640  1 Co 1.97, 2 Rh 2.07
O6 0.9541 0.6292 0.3486  1 Co 1.96, 2 Rh 2.05-2.07